Entry 1:
The following is a PBE-GGA calculation of an optimized crystal structure of LuCuTeOs, from OQMD via LeMat-Bulk.

a b c (Å): 6.6290 6.6290 6.6290
angles (deg): 90.00 90.00 90.00
Closest atoms and distances in Å follow each position.
Space group F-43m (No. 216)
One atom of each set of equivalent atoms:
1 Lu 0.0000 0.0000 0.0000  4 Os 2.87, 4 Cu 2.87
2 Cu 0.2500 0.2500 0.2500  4 Te 2.87, 4 Lu 2.87
3 Te 0.0000 0.0000 0.5000  4 Os 2.87, 4 Cu 2.87
4 Os 0.2500 0.2500 0.7500  4 Te 2.87, 4 Lu 2.87

- E (eV/cell) = -89.38
- polymorph energy (0 for the lowest one) (eV/f.u.) = 0.00
- V (Å³/atom) = 18.206

---

Entry 2:
The following is a PBE-GGA calculation of an optimized crystal structure of LuCuTeOs, from OQMD via LeMat-Bulk.

a b c (Å): 6.5928 6.5928 6.5928
angles (deg): 90.00 90.00 90.00
Closest atoms and distances in Å follow each position.
Space group F-43m (No. 216)
One atom of each set of equivalent atoms:
1 Lu 0.0000 0.0000 0.0000  4 Te 2.85, 4 Cu 2.85
2 Cu 0.2500 0.2500 0.7500  4 Os 2.85, 4 Lu 2.85
3 Te 0.2500 0.2500 0.2500  4 Os 2.85, 4 Lu 2.85
4 Os 0.0000 0.0000 0.5000  4 Cu 2.85, 4 Te 2.85

- E (eV/cell) = -89.03
- polymorph energy (0 for the lowest one) (eV/f.u.) = 0.09
- V (Å³/atom) = 17.910

---

Entry 3:
The following is a PBE-GGA calculation of an optimized crystal structure of LuZnCuOs, from OQMD via LeMat-Bulk.

a b c (Å): 6.3815 6.3815 6.3815
angles (deg): 90.00 90.00 90.00
Closest atoms and distances in Å follow each position.
Space group F-43m (No. 216)
One atom of each set of equivalent atoms:
1 Lu 0.0000 0.0000 0.0000  4 Os 2.76, 4 Cu 2.76
2 Zn 0.0000 0.0000 0.5000  4 Cu 2.76, 4 Os 2.76
3 Cu 0.2500 0.2500 0.7500  4 Zn 2.76, 4 Lu 2.76
4 Os 0.2500 0.2500 0.2500  4 Zn 2.76, 4 Lu 2.76

- E (eV/cell) = -82.95
- polymorph energy (0 for the lowest one) (eV/f.u.) = 0.00
- V (Å³/atom) = 16.242

---

Entry 4:
The following is a PBE-GGA calculation of an optimized crystal structure of LuZnCuOs, from OQMD via LeMat-Bulk.

a b c (Å): 6.4072 6.4072 6.4072
angles (deg): 90.00 90.00 90.00
Closest atoms and distances in Å follow each position.
Space group F-43m (No. 216)
One atom of each set of equivalent atoms:
1 Lu 0.0000 0.0000 0.0000  4 Os 2.77, 4 Zn 2.77
2 Zn 0.2500 0.2500 0.2500  4 Cu 2.77, 4 Lu 2.77
3 Cu 0.0000 0.0000 0.5000  4 Zn 2.77, 4 Os 2.77
4 Os 0.2500 0.2500 0.7500  4 Cu 2.77, 4 Lu 2.77

- E (eV/cell) = -80.51
- polymorph energy (0 for the lowest one) (eV/f.u.) = 0.61
- V (Å³/atom) = 16.439

---

Entry 5:
The following is a PBE-GGA calculation of an optimized crystal structure of Lu3CuP, from OQMD via LeMat-Bulk.

a b c (Å): 5.0886 5.0886 5.0886
angles (deg): 90.00 90.00 90.00
Closest atoms and distances in Å follow each position.
Space group Pm-3m (No. 221)
One atom of each set of equivalent atoms:
1 Lu 0.0000 0.0000 0.5000  2 P 2.54
2 Cu 0.5000 0.5000 0.5000  12 Lu 3.60
3 P 0.0000 0.0000 0.0000  6 Lu 2.54

- E (eV/cell) = -23.59
- V (Å³/atom) = 26.352

---

Entry 6:
The following is a PBE-GGA calculation of an optimized crystal structure of LuCu2Pb, from OQMD via LeMat-Bulk.

a b c (Å): 6.7214 6.7214 6.7214
angles (deg): 90.00 90.00 90.00
Closest atoms and distances in Å follow each position.
Space group F-43m (No. 216)
One atom of each set of equivalent atoms:
1 Lu 0.0000 0.0000 0.0000  4 Cu 2.91, 4 Pb 2.91
2 Cu 0.0000 0.0000 0.5000  4 Pb 2.91, 4 Cu 2.91
3 Cu 0.2500 0.2500 0.2500  4 Cu 2.91, 4 Lu 2.91
4 Pb 0.2500 0.2500 0.7500  4 Cu 2.91, 4 Lu 2.91

- E (eV/cell) = -62.60
- V (Å³/atom) = 18.978

---

Entry 7:
The following is a PBE-GGA calculation of an optimized crystal structure of LuCuPtPb, from OQMD via LeMat-Bulk.

a b c (Å): 6.7374 6.7374 6.7374
angles (deg): 90.00 90.00 90.00
Closest atoms and distances in Å follow each position.
Space group F-43m (No. 216)
One atom of each set of equivalent atoms:
1 Lu 0.0000 0.0000 0.0000  4 Pb 2.92, 4 Cu 2.92
2 Cu 0.2500 0.2500 0.2500  4 Pt 2.92, 4 Lu 2.92
3 Pt 0.0000 0.0000 0.5000  4 Pb 2.92, 4 Cu 2.92
4 Pb 0.2500 0.2500 0.7500  4 Pt 2.92, 4 Lu 2.92

- E (eV/cell) = -76.78
- polymorph energy (0 for the lowest one) (eV/f.u.) = 0.76
- V (Å³/atom) = 19.114

---

Entry 8:
The following is a PBE-GGA calculation of an optimized crystal structure of LuCuPtPb, from OQMD via LeMat-Bulk.

a b c (Å): 6.7953 6.7953 6.7953
angles (deg): 90.00 90.00 90.00
Closest atoms and distances in Å follow each position.
Space group F-43m (No. 216)
One atom of each set of equivalent atoms:
1 Lu 0.0000 0.0000 0.0000  4 Pb 2.94, 4 Pt 2.94
2 Cu 0.0000 0.0000 0.5000  4 Pb 2.94, 4 Pt 2.94
3 Pt 0.2500 0.2500 0.7500  4 Cu 2.94, 4 Lu 2.94
4 Pb 0.2500 0.2500 0.2500  4 Cu 2.94, 4 Lu 2.94

- E (eV/cell) = -77.34
- polymorph energy (0 for the lowest one) (eV/f.u.) = 0.62
- V (Å³/atom) = 19.611